Entry 1:
# V12MoAu3 (PBE-GGA, optimized geometry)
# D(E_F), states/eV/f.u.: 21.5
# E_form, eV per atom: -0.05
data_V12MoAu3
_cell_length_a 4.8749
_cell_length_b 4.8781
_cell_length_c 9.7112
_cell_angle_alpha 90.00
_cell_angle_beta 90.00
_cell_angle_gamma 90.00
_space_group_name_H-M_alt 'P m m m'
_space_group_IT_number 47
loop_
_space_group_symop_operation_xyz
'x,y,z'
'-x,-y,-z'
'-x,-y,z'
'x,y,-z'
'x,-y,-z'
'-x,y,z'
'-x,y,-z'
'x,-y,z'
loop_
_atom_site_label
_atom_site_type_symbol
_atom_site_fract_x
_atom_site_fract_y
_atom_site_fract_z
V1 V 0.0000 0.0000 0.1229
V2 V 0.0000 0.0000 0.3754
V3 V 0.2464 0.5000 0.2551
V4 V 0.5000 0.2485 0.0000
V5 V 0.5000 0.2558 0.5000
Mo1 Mo 0.0000 0.5000 0.5000
Au1 Au 0.0000 0.5000 0.0000
Au2 Au 0.5000 0.0000 0.2499



Entry 2:
# B3MoOs (PBE-GGA, optimized geometry)
# D(E_F), states/eV/f.u.: 2.3
# E_form, eV per atom: 1.24
data_B3MoOs
_cell_length_a 4.0277
_cell_length_b 4.0277
_cell_length_c 4.0277
_cell_angle_alpha 90.00
_cell_angle_beta 90.00
_cell_angle_gamma 90.00
_space_group_name_H-M_alt 'P m -3 m'
_space_group_IT_number 221
_space_group_name_Hall '-P 4 2 3'
loop_
_atom_site_label
_atom_site_type_symbol
_atom_site_fract_x
_atom_site_fract_y
_atom_site_fract_z
B1 B 0.0000 0.0000 0.5000
Mo1 Mo 0.5000 0.5000 0.5000
Os1 Os 0.0000 0.0000 0.0000



Entry 3:
# MnMo2W (PBE-GGA, optimized geometry)
# D(E_F), states/eV/f.u.: 3.9
# E_form, eV per atom: 0.10
data_MnMo2W
_cell_length_a 4.3921
_cell_length_b 4.3921
_cell_length_c 3.1364
_cell_angle_alpha 90.00
_cell_angle_beta 90.00
_cell_angle_gamma 90.00
_space_group_name_H-M_alt 'P 4/m m m'
_space_group_IT_number 123
_space_group_name_Hall '-P 4 2'
loop_
_atom_site_label
_atom_site_type_symbol
_atom_site_fract_x
_atom_site_fract_y
_atom_site_fract_z
Mn1 Mn 0.0000 0.0000 0.0000
Mo1 Mo 0.0000 0.5000 0.5000
W1 W 0.5000 0.5000 0.0000



Entry 4:
# Fe3BPd (PBE-GGA, optimized geometry)
# D(E_F), states/eV/f.u.: 13.6
# E_form, eV per atom: 0.31
data_Fe3BPd
_cell_length_a 3.8038
_cell_length_b 3.8038
_cell_length_c 3.8038
_cell_angle_alpha 90.00
_cell_angle_beta 90.00
_cell_angle_gamma 90.00
_space_group_name_H-M_alt 'P m -3 m'
_space_group_IT_number 221
_space_group_name_Hall '-P 4 2 3'
loop_
_atom_site_label
_atom_site_type_symbol
_atom_site_fract_x
_atom_site_fract_y
_atom_site_fract_z
Fe1 Fe 0.0000 0.0000 0.5000
B1 B 0.0000 0.0000 0.0000
Pd1 Pd 0.5000 0.5000 0.5000



Entry 5:
# K3CrHg (PBE-GGA, optimized geometry)
# D(E_F), states/eV/f.u.: 4.3
# E_form, eV per atom: 0.59
data_K3CrHg
_cell_length_a 6.7154
_cell_length_b 6.7154
_cell_length_c 6.7154
_cell_angle_alpha 90.00
_cell_angle_beta 90.00
_cell_angle_gamma 90.00
_space_group_name_H-M_alt 'P m -3 m'
_space_group_IT_number 221
_space_group_name_Hall '-P 4 2 3'
loop_
_atom_site_label
_atom_site_type_symbol
_atom_site_fract_x
_atom_site_fract_y
_atom_site_fract_z
K1 K 0.0000 0.0000 0.5000
Cr1 Cr 0.0000 0.0000 0.0000
Hg1 Hg 0.5000 0.5000 0.5000



Entry 6:
# AlZn5Cu4 (PBE-GGA, optimized geometry)
# D(E_F), states/eV/f.u.: 1.9
# E_form, eV per atom: -0.07
data_AlZn5Cu4
_cell_length_a 12.9652
_cell_length_b 3.9610
_cell_length_c 6.3408
_cell_angle_alpha 90.00
_cell_angle_beta 118.74
_cell_angle_gamma 90.00
_space_group_name_H-M_alt 'C 1 2/m 1'
_space_group_IT_number 12
loop_
_space_group_symop_operation_xyz
'x,y,z'
'-x,-y,-z'
'-x,y,-z'
'x,-y,z'
'x+1/2,y+1/2,z'
'-x+1/2,-y+1/2,-z'
'-x+1/2,y+1/2,-z'
'x+1/2,-y+1/2,z'
loop_
_atom_site_label
_atom_site_type_symbol
_atom_site_fract_x
_atom_site_fract_y
_atom_site_fract_z
Al1 Al 0.0000 0.0000 0.0000
Zn1 Zn 0.0000 0.0000 0.5000
Zn2 Zn 0.1732 0.5000 0.2210
Zn3 Zn 0.1731 0.5000 0.6236
Cu1 Cu 0.0224 0.5000 0.7730
Cu2 Cu 0.1758 0.0000 0.9288



Entry 7:
# CsBaTe (PBE-GGA, optimized geometry)
# Formation energy (no corrections), eV per atom: -1.0009
# D(E_F), states/eV/f.u.: 1.8
data_CsBaTe
_cell_length_a 4.5189
_cell_length_b 4.5189
_cell_length_c 17.4358
_cell_angle_alpha 90.00
_cell_angle_beta 90.00
_cell_angle_gamma 90.00
_space_group_name_H-M_alt 'I 4 m m'
_space_group_IT_number 107
_space_group_name_Hall 'I 4 -2'
loop_
_atom_site_label
_atom_site_type_symbol
_atom_site_fract_x
_atom_site_fract_y
_atom_site_fract_z
Cs1 Cs 0.0000 0.0000 0.0000
Ba1 Ba 0.0000 0.0000 0.2331
Te1 Te 0.0000 0.0000 0.6509



Entry 8:
# NaCdTeCl (PBE-GGA, optimized geometry)
# Formation energy (no corrections), eV per atom: -1.0063
data_NaCdTeCl
_cell_length_a 4.5192
_cell_length_b 4.5192
_cell_length_c 42.4176
_cell_angle_alpha 90.00
_cell_angle_beta 90.00
_cell_angle_gamma 120.00
_space_group_name_H-M_alt 'R -3 m'
_space_group_IT_number 166
_space_group_name_Hall '-R 3 2"'
loop_
_atom_site_label
_atom_site_type_symbol
_atom_site_fract_x
_atom_site_fract_y
_atom_site_fract_z
Na1 Na 0.0000 0.0000 0.0000
Na2 Na 0.0000 0.0000 0.5000
Cd1 Cd 0.0000 0.0000 0.2422
Te1 Te 0.0000 0.0000 0.1184
Cl1 Cl 0.0000 0.0000 0.3016



Entry 9:
# BeCrAg2 (PBE-GGA, optimized geometry)
# D(E_F), states/eV/f.u.: 2.8
# E_form, eV per atom: 0.50
data_BeCrAg2
_cell_length_a 2.8607
_cell_length_b 2.8607
_cell_length_c 25.7258
_cell_angle_alpha 90.00
_cell_angle_beta 90.00
_cell_angle_gamma 120.00
_space_group_name_H-M_alt 'R -3 m'
_space_group_IT_number 166
_space_group_name_Hall '-R 3 2"'
loop_
_atom_site_label
_atom_site_type_symbol
_atom_site_fract_x
_atom_site_fract_y
_atom_site_fract_z
Be1 Be 0.0000 0.0000 0.0000
Cr1 Cr 0.0000 0.0000 0.5000
Ag1 Ag 0.0000 0.0000 0.2583



Entry 10:
# ZrVZn2 (PBE-GGA, optimized geometry)
# D(E_F), states/eV/f.u.: 4.4
# E_form, eV per atom: -0.04
data_ZrVZn2
_cell_length_a 4.0377
_cell_length_b 4.0377
_cell_length_c 4.0038
_cell_angle_alpha 90.00
_cell_angle_beta 90.00
_cell_angle_gamma 90.00
_space_group_name_H-M_alt 'P 4/m m m'
_space_group_IT_number 123
_space_group_name_Hall '-P 4 2'
loop_
_atom_site_label
_atom_site_type_symbol
_atom_site_fract_x
_atom_site_fract_y
_atom_site_fract_z
Zr1 Zr 0.0000 0.0000 0.0000
V1 V 0.5000 0.5000 0.0000
Zn1 Zn 0.0000 0.5000 0.5000



Entry 11:
# In2FeAu (PBE-GGA, optimized geometry)
# D(E_F), states/eV/f.u.: 3.4
# E_form, eV per atom: 0.16
data_In2FeAu
_cell_length_a 3.1890
_cell_length_b 3.4363
_cell_length_c 6.7121
_cell_angle_alpha 90.00
_cell_angle_beta 90.53
_cell_angle_gamma 90.00
_space_group_name_H-M_alt 'P 1 2/m 1'
_space_group_IT_number 10
loop_
_space_group_symop_operation_xyz
'x,y,z'
'-x,-y,-z'
'-x,y,-z'
'x,-y,z'
loop_
_atom_site_label
_atom_site_type_symbol
_atom_site_fract_x
_atom_site_fract_y
_atom_site_fract_z
In1 In 0.0009 0.0000 0.2275
Fe1 Fe 0.5000 0.5000 0.0000
Au1 Au 0.5000 0.5000 0.5000



Entry 12:
# Ba2Sr2Zn (PBE-GGA, optimized geometry)
# D(E_F), states/eV/f.u.: 6.2
# E_form, eV per atom: -0.07
data_Ba2Sr2Zn
_cell_length_a 4.1997
_cell_length_b 4.1997
_cell_length_c 27.4302
_cell_angle_alpha 90.00
_cell_angle_beta 90.00
_cell_angle_gamma 90.00
_space_group_name_H-M_alt 'I 4/m m m'
_space_group_IT_number 139
_space_group_name_Hall '-I 4 2'
loop_
_atom_site_label
_atom_site_type_symbol
_atom_site_fract_x
_atom_site_fract_y
_atom_site_fract_z
Ba1 Ba 0.0000 0.0000 0.0709
Sr1 Sr 0.0000 0.0000 0.3066
Zn1 Zn 0.0000 0.0000 0.5000



Entry 13:
# K2BaCo (PBE-GGA, optimized geometry)
# D(E_F), states/eV/f.u.: 5.6
# E_form, eV per atom: 1.24
data_K2BaCo
_cell_length_a 7.9183
_cell_length_b 7.9183
_cell_length_c 14.3579
_cell_angle_alpha 90.00
_cell_angle_beta 90.00
_cell_angle_gamma 90.00
_space_group_name_H-M_alt 'I -4 2 d'
_space_group_IT_number 122
_space_group_name_Hall 'I -4 2bw'
loop_
_atom_site_label
_atom_site_type_symbol
_atom_site_fract_x
_atom_site_fract_y
_atom_site_fract_z
K1 K 0.0015 0.2500 0.1250
Ba1 Ba 0.0000 0.0000 0.5000
Co1 Co 0.0000 0.0000 0.0000



Number 1: spin magnetization 0.0 μB per formula unit, E_tot -8.177 eV per atom. Number 2: spin magnetization 2.8 μB per formula unit, E_tot -7.183 eV per atom. Number 3: spin magnetization 1.6 μB per formula unit, E_tot -10.850 eV per atom. Number 4: spin magnetization 0.0 μB per formula unit, E_tot -7.141 eV per atom. Number 5: spin magnetization 6.1 μB per formula unit, E_tot -2.058 eV per atom. Number 6: spin magnetization 0.0 μB per formula unit, E_tot -2.716 eV per atom. Number 7: spin magnetization 0.0 μB per formula unit, E_tot -2.974 eV per atom. Number 8: spin magnetization 0.0 μB per formula unit, E_tot -2.812 eV per atom. Number 9: spin magnetization 3.7 μB per formula unit, E_tot -4.265 eV per atom. Number 10: spin magnetization 0.7 μB per formula unit, E_tot -5.097 eV per atom. Number 11: spin magnetization 2.0 μB per formula unit, E_tot -4.142 eV per atom. Number 12: spin magnetization 0.0 μB per formula unit, E_tot -1.768 eV per atom. Number 13: spin magnetization 0.0 μB per formula unit, E_tot -1.568 eV per atom.